one:
This record from Alexandria via LeMat-Bulk describes a relaxed Th7Ru2Au2 crystal. The functional is PBE.

Results
- Space-group type: Cmmm

```
Th7Ru2Au2
1.0
4.099 -5.504 0.000
4.099 5.504 0.000
0.000 0.000 6.983
Th Ru Au
7 2 2
Cartesian
0.000 0.000 0.000
2.049 2.752 1.853
2.049 2.752 5.130
2.049 -2.752 1.853
2.049 -2.752 5.130
4.099 0.000 1.862
4.099 0.000 5.121
4.099 2.396 0.000
4.099 -2.396 0.000
1.385 0.000 3.492
6.813 0.000 3.492
```



two:
This record from Alexandria via LeMat-Bulk describes a relaxed Th7Ru2Au2 crystal. The functional is PBE.

Results
- Space-group type: Imm2

```
Th7Ru2Au2
1.0
-1.922 7.750 5.076
1.922 -7.750 5.076
1.922 7.750 -5.076
Th Ru Au
7 2 2
Cartesian
0.000 0.000 0.000
1.922 5.792 -0.906
1.922 2.875 1.250
0.000 1.958 4.170
0.000 5.552 2.678
0.000 9.948 2.678
0.000 4.875 6.326
1.922 -4.137 4.392
1.922 4.137 4.392
1.922 0.000 2.599
0.000 0.000 6.682
```



In terms of stability, two leads; the second structure lies 208 meV/atom higher.



one:
This record from Alexandria via LeMat-Bulk describes a relaxed Th4RuAu crystal. The functional is PBE.

Results
- Space-group type: P4/mcc

```
Th4RuAu
1.0
7.283 0.000 0.000
0.000 7.283 0.000
0.000 0.000 6.118
Th Ru Au
8 2 2
Cartesian
1.108 2.361 0.000
1.108 4.922 3.059
2.361 1.108 3.059
2.361 6.175 0.000
4.922 1.108 0.000
4.922 6.175 3.059
6.175 2.361 3.059
6.175 4.922 0.000
0.000 0.000 1.529
0.000 0.000 4.588
3.641 3.641 1.529
3.641 3.641 4.588
```



two:
This record from Alexandria via LeMat-Bulk describes a relaxed Th4RuAu crystal. The functional is PBE.

Results
- Space-group type: C2/c

```
Th4RuAu
1.0
4.291 -7.461 0.000
4.291 7.461 0.000
-3.871 0.000 5.660
Th Ru Au
8 2 2
Cartesian
-0.446 4.235 4.637
-0.810 0.771 4.149
1.126 -0.771 1.319
3.221 4.235 3.853
1.490 -4.235 1.807
3.584 0.771 4.342
5.520 -0.771 1.511
5.156 -4.235 1.023
1.387 6.277 4.245
3.323 -6.277 1.415
3.323 1.533 1.415
1.387 -1.533 4.245
```



In terms of stability, one leads; the second structure lies 167 meV/atom higher.



one:
This record from Alexandria via LeMat-Bulk describes a relaxed TiRu3Au crystal. The functional is PBE.

Results
- Space-group type: Pm-3m

```
TiRu3Au
1.0
4.505 0.000 0.000
0.000 4.505 0.000
0.000 0.000 4.505
Ti Ru Au
1 3 1
Cartesian
0.000 0.000 0.000
0.000 0.000 2.252
0.000 2.252 0.000
2.252 0.000 0.000
2.252 2.252 2.252
```



two:
This record from Alexandria via LeMat-Bulk describes a relaxed TiRu3Au crystal. The functional is PBE.

Results
- Space-group type: Pm-3m

```
TiRu3Au
1.0
4.817 0.000 0.000
0.000 4.817 0.000
0.000 0.000 4.817
Ti Ru Au
1 3 1
Cartesian
0.000 0.000 0.000
0.000 2.409 2.409
2.409 0.000 2.409
2.409 2.409 0.000
2.409 2.409 2.409
```



In terms of stability, one leads; the second structure lies 879 meV/atom higher.



one:
This record from Alexandria via LeMat-Bulk describes a relaxed Ti2Ru2Au crystal. The functional is PBE.

Results
- Space-group type: P4/mbm

```
Ti2Ru2Au
1.0
7.323 0.000 0.000
0.000 7.323 0.000
0.000 0.000 2.969
Ti Ru Au
4 4 2
Cartesian
1.063 2.598 0.000
2.598 6.260 0.000
4.724 1.063 0.000
6.260 4.724 0.000
1.093 4.754 1.485
2.568 1.093 1.485
4.754 6.229 1.485
6.229 2.568 1.485
0.000 0.000 0.000
3.661 3.661 0.000
```



two:
This record from Alexandria via LeMat-Bulk describes a relaxed Ti2Ru2Au crystal. The functional is PBE.

Results
- Space-group type: P4/mbm

```
Ti2Ru2Au
1.0
7.218 0.000 0.000
0.000 7.218 0.000
0.000 0.000 3.046
Ti Ru Au
4 4 2
Cartesian
1.145 2.463 0.000
2.463 6.072 0.000
4.754 1.145 0.000
6.072 4.754 0.000
0.998 4.607 1.523
2.611 0.998 1.523
4.607 6.220 1.523
6.220 2.611 1.523
0.000 0.000 1.523
3.609 3.609 1.523
```



In terms of stability, two leads; the second structure lies 114 meV/atom higher.



one:
This record from Alexandria via LeMat-Bulk describes a relaxed Ti3RuAu crystal. The functional is PBE.

Results
- Space-group type: Pm-3m

```
Ti3RuAu
1.0
4.669 0.000 0.000
0.000 4.669 0.000
0.000 0.000 4.669
Ti Ru Au
3 1 1
Cartesian
0.000 0.000 2.334
0.000 2.334 0.000
2.334 0.000 0.000
0.000 0.000 0.000
2.334 2.334 2.334
```



two:
This record from Alexandria via LeMat-Bulk describes a relaxed Ti3RuAu crystal. The functional is PBE.

Results
- Space-group type: Pm-3m

```
Ti3RuAu
1.0
4.783 0.000 0.000
0.000 4.783 0.000
0.000 0.000 4.783
Ti Ru Au
3 1 1
Cartesian
0.000 0.000 2.391
0.000 2.391 0.000
2.391 0.000 0.000
2.391 2.391 2.391
0.000 0.000 0.000
```



In terms of stability, one leads; the second structure lies 809 meV/atom higher.



one:
This record from Alexandria via LeMat-Bulk describes a relaxed TlRuAu2 crystal. The functional is PBE.

Results
- Space-group type: I-42d

```
TlRuAu2
1.0
-1.969 1.969 10.245
1.969 -1.969 10.245
1.969 1.969 -10.245
Tl Ru Au
2 2 4
Cartesian
0.000 0.000 0.000
0.000 1.969 5.122
1.969 0.000 5.122
0.000 0.000 10.245
0.984 -0.949 7.683
1.020 0.984 2.561
0.984 2.918 -2.561
0.949 0.984 12.806
```



two:
This record from Alexandria via LeMat-Bulk describes a relaxed TlRuAu2 crystal. The functional is PBE.

Results
- Space-group type: P4/mmm

```
TlRuAu2
1.0
4.070 0.000 0.000
0.000 4.070 0.000
0.000 0.000 4.390
Tl Ru Au
1 1 2
Cartesian
0.000 0.000 0.000
2.035 2.035 0.000
0.000 2.035 2.195
2.035 0.000 2.195
```



three:
This record from Alexandria via LeMat-Bulk describes a relaxed TlRuAu2 crystal. The functional is PBE.

Results
- Space-group type: R-3m

```
TlRuAu2
1.0
1.487 0.859 10.047
-1.487 0.859 10.047
0.000 -1.717 10.047
Tl Ru Au
1 1 2
Cartesian
0.000 0.000 0.000
0.000 0.000 15.070
0.000 0.000 7.273
0.000 0.000 22.867
```



In terms of stability, two leads; the second structure lies 169 meV/atom higher.



one:
This record from Alexandria via LeMat-Bulk describes a relaxed TlRuAu2 crystal. The functional is PBE.

Results
- Space-group type: Fm-3m

```
TlRuAu2
1.0
0.000 3.326 3.326
3.326 0.000 3.326
3.326 3.326 0.000
Tl Ru Au
1 1 2
Cartesian
0.000 0.000 0.000
3.326 3.326 3.326
1.663 1.663 1.663
4.989 4.989 4.989
```



two:
This record from Alexandria via LeMat-Bulk describes a relaxed TlRuAu2 crystal. The functional is PBE.

Results
- Space-group type: Immm

```
TlRuAu2
1.0
-1.502 2.338 5.541
1.502 -2.338 5.541
1.502 2.338 -5.541
Tl Ru Au
1 1 2
Cartesian
0.000 0.000 0.000
0.000 0.000 5.541
1.502 0.000 3.200
0.000 2.338 2.341
```



In terms of stability, two leads; the second structure lies 165 meV/atom higher.



one:
This record from Alexandria via LeMat-Bulk describes a relaxed TlRuAu2 crystal. The functional is PBE.

Results
- Space-group type: Pmmm

```
TlRuAu2
1.0
2.997 0.000 0.000
0.000 4.132 0.000
0.000 0.000 6.103
Tl Ru Au
1 1 2
Cartesian
0.000 0.000 0.000
0.000 0.000 3.051
1.498 2.066 1.670
1.498 2.066 4.433
```



two:
This record from Alexandria via LeMat-Bulk describes a relaxed TlRuAu2 crystal. The functional is PBE.

Results
- Space-group type: C2/m

```
TlRuAu2
1.0
2.822 -5.184 0.000
2.822 5.184 0.000
-1.541 0.000 2.564
Tl Ru Au
1 1 2
Cartesian
0.000 0.000 0.000
2.822 0.000 0.000
0.640 2.592 1.282
0.640 -2.592 1.282
```



In terms of stability, two leads; the second structure lies 48 meV/atom higher.



one:
This record from Alexandria via LeMat-Bulk describes a relaxed TlRuAu2 crystal. The functional is PBE.

Results
- Space-group type: F-43m

```
TlRuAu2
1.0
0.000 3.315 3.315
3.315 0.000 3.315
3.315 3.315 0.000
Tl Ru Au
1 1 2
Cartesian
0.000 0.000 0.000
4.972 4.972 4.972
1.657 1.657 1.657
3.315 3.315 3.315
```



two:
This record from Alexandria via LeMat-Bulk describes a relaxed TlRuAu2 crystal. The functional is PBE.

Results
- Space-group type: Imm2

```
TlRuAu2
1.0
-1.656 2.404 4.626
1.656 -2.404 4.626
1.656 2.404 -4.626
Tl Ru Au
1 1 2
Cartesian
0.000 0.000 0.000
0.000 2.404 2.376
1.656 0.000 2.364
0.000 0.000 4.709
```



three:
This record from Alexandria via LeMat-Bulk describes a relaxed TlRuAu2 crystal. The functional is PBE.

Results
- Space-group type: P2/m

```
TlRuAu2
1.0
4.690 0.000 0.000
0.000 3.201 0.000
-1.190 0.000 4.872
Tl Ru Au
1 1 2
Cartesian
0.000 0.000 0.000
2.345 1.600 0.000
-0.595 1.600 2.436
1.750 0.000 2.436
```



four:
This record from Alexandria via LeMat-Bulk describes a relaxed TlRuAu2 crystal. The functional is PBE.

Results
- Space-group type: I-4m2

```
TlRuAu2
1.0
-2.179 2.179 3.836
2.179 -2.179 3.836
2.179 2.179 -3.836
Tl Ru Au
1 1 2
Cartesian
0.000 0.000 0.000
0.000 2.179 1.918
2.179 0.000 1.918
0.000 0.000 3.836
```



In terms of stability, three leads; the second structure lies 57 meV/atom higher.



one:
This record from Alexandria via LeMat-Bulk describes a relaxed TlRuAu2 crystal. The functional is PBE.

Results
- Space-group type: P4mm

```
TlRuAu2
1.0
3.436 0.000 0.000
0.000 3.436 0.000
0.000 0.000 6.221
Tl Ru Au
1 1 2
Cartesian
0.000 0.000 0.000
1.718 1.718 4.799
0.000 0.000 3.254
1.718 1.718 1.781
```



two:
This record from Alexandria via LeMat-Bulk describes a relaxed TlRuAu2 crystal. The functional is PBE.

Results
- Space-group type: I4/mmm

```
TlRuAu2
1.0
-2.044 2.044 4.431
2.044 -2.044 4.431
2.044 2.044 -4.431
Tl Ru Au
1 1 2
Cartesian
0.000 0.000 0.000
0.000 0.000 4.431
2.044 0.000 2.216
0.000 2.044 2.216
```



In terms of stability, one leads; the second structure lies 40 meV/atom higher.



one:
This record from Alexandria via LeMat-Bulk describes a relaxed TlRu2Au crystal. The functional is PBE.

Results
- Space-group type: C2/m

```
TlRu2Au
1.0
4.556 -1.479 0.000
4.556 1.479 0.000
-1.112 0.000 5.183
Tl Ru Au
1 2 1
Cartesian
0.000 0.000 0.000
1.494 0.000 3.684
6.507 0.000 1.499
4.001 0.000 2.591
```



two:
This record from Alexandria via LeMat-Bulk describes a relaxed TlRu2Au crystal. The functional is PBE.

Results
- Space-group type: Cm

```
TlRu2Au
1.0
4.655 -1.494 0.000
4.655 1.494 0.000
-0.858 0.000 4.906
Tl Ru Au
1 2 1
Cartesian
0.000 0.000 0.000
4.134 0.000 2.335
6.781 0.000 1.413
1.599 0.000 3.671
```



In terms of stability, two leads; the second structure lies 50 meV/atom higher.